Co3C10ClO9 | the Open Quantum Materials Database | PBE with a Hubbard U | relaxed; calculated volume = 14.862 Å³ per atom; E_tot = -7.103 eV per atom
1.0
7.620 0.000 0.000
3.181 7.833 0.000
1.605 0.007 11.454
Co C Cl O
6 20 2 18
Cartesian
1.467 1.791 2.023
3.020 3.312 3.117
3.613 0.960 2.860
8.792 6.880 8.594
9.385 4.529 8.337
10.938 6.050 9.431
0.604 0.276 1.967
2.882 3.256 7.896
2.177 1.759 3.753
1.956 2.101 0.332
4.729 5.058 9.175
3.790 3.980 1.646
4.202 3.639 4.362
6.276 7.129 2.997
7.861 6.798 10.118
7.545 6.951 7.371
4.860 0.889 4.083
4.544 1.042 1.336
6.129 0.712 8.457
8.203 4.201 7.092
8.615 3.860 9.808
7.676 2.782 2.279
10.449 5.739 11.122
10.228 6.081 7.701
9.523 4.584 3.558
11.801 7.564 9.487
1.445 1.400 5.240
10.960 6.441 6.214
3.172 7.127 1.950
3.879 2.312 10.692
3.591 2.396 7.590
4.253 4.436 0.692
5.692 4.448 8.982
4.960 3.872 5.200
7.249 6.776 11.101
6.718 7.020 6.565
5.902 6.044 3.134
6.503 1.796 8.320
5.687 0.821 4.889
5.156 1.064 0.353
7.445 3.968 6.254
6.713 3.392 2.472
8.152 3.404 10.762
8.814 5.445 3.864
8.526 5.528 0.762
9.233 0.713 9.504